Entry 1:
CeGaH | GGA-PBE | relaxed

a = 4.1536 Å, b = 4.2222 Å, c = 6.1476 Å
α = 110.08°, β = 90.00°, γ = 90.00°
With the nearest neighbours (Å) after each atom.
Element x y z (fractional)
Ce 0.3898 0.7758 0.3128  4 H 2.37-2.38
Ce 0.8898 0.0828 0.9270  4 H 2.37-2.38
Ga 0.8896 0.3652 0.4920  2 Ga 2.55
Ga 0.3896 0.4934 0.7478  2 Ga 2.55
H 0.3897 0.1813 0.1237  4 Ce 2.37-2.38
H 0.8897 0.6773 0.1161  4 Ce 2.37-2.38

Output
Total energy: -4.7038 eV per atom
ρ: 6.92 g/cm3
Density of states at the Fermi level: 1.2238 states/eV per atom

***

Entry 2:
CeGaH2 | GGA-PBE | relaxed

a = 3.7712 Å, b = 3.7712 Å, c = 5.2224 Å
α = 68.83°, β = 68.83°, γ = 60.00°
With the nearest neighbours (Å) after each atom.
Element x y z (fractional)
H 0.1996 0.1996 0.4011  3 Ce 2.23, 3 H 2.37
H 0.8004 0.8004 0.5989  3 Ce 2.23, 3 H 2.37
Ga 0.0000 0.0000 0.0000  8 H 2.84-2.89
Ce 0.5000 0.5000 0.5000  6 H 2.23

Output
Total energy: -4.2005 eV per atom
ρ: 6.02 g/cm3
Density of states at the Fermi level: 0.7844 states/eV per atom

***

Entry 3:
CeGaH2 | GGA-PBE | relaxed

a = 4.1185 Å, b = 4.2424 Å, c = 6.2477 Å
α = 109.85°, β = 90.00°, γ = 90.00°
With the nearest neighbours (Å) after each atom.
Element x y z (fractional)
Ce 0.2500 0.6490 0.2980  7 H 2.35-2.43
Ce 0.7500 0.3510 0.7020  7 H 2.35-2.43
Ga 0.7500 0.0658 0.1313  2 H 2.10-2.15
Ga 0.2500 0.9342 0.8687  2 H 2.10-2.15
H 0.7500 0.7501 0.5008  1 H 2.33, 4 Ce 2.38-2.43
H 0.2500 0.2499 0.4992  1 H 2.33, 4 Ce 2.38-2.43
H 0.7500 0.5584 0.1040  2 Ga 2.10-2.15, 1 H 2.33
H 0.2500 0.4416 0.8960  2 Ga 2.10-2.15, 1 H 2.33

Output
Total energy: -4.4503 eV per atom
ρ: 6.85 g/cm3
Density of states at the Fermi level: 1.1924 states/eV per atom

***

Copy entry 2 word for word.
CeGaH2 | GGA-PBE | relaxed

a = 3.7712 Å, b = 3.7712 Å, c = 5.2224 Å
α = 68.83°, β = 68.83°, γ = 60.00°
With the nearest neighbours (Å) after each atom.
Element x y z (fractional)
H 0.1996 0.1996 0.4011  3 Ce 2.23, 3 H 2.37
H 0.8004 0.8004 0.5989  3 Ce 2.23, 3 H 2.37
Ga 0.0000 0.0000 0.0000  8 H 2.84-2.89
Ce 0.5000 0.5000 0.5000  6 H 2.23

Output
Total energy: -4.2005 eV per atom
ρ: 6.02 g/cm3
Density of states at the Fermi level: 0.7844 states/eV per atom

***

Which formula does entry 2 have?
CeGaH2

***

Number 2 is which compound?
CeGaH2

***

Among the records above, which one has the lowest density of states at the Fermi level?
number 2